A relaxed NaCe2Bi3 crystal. Source: Alexandria, functional GGA-PBE.

Computed properties:
V: 32.02 Å³ per atom
D(E_F): 1.93 states/eV per atom
SG: Immm (71)
Final energy: -27.6 eV for the cell shown
M_tot: 2.046 μB/f.u.
Formation energy from the elements: -0.4627 eV/atom

Cell: 10.011 10.011 10.011 Å, 159.99 145.91 39.84°
Fractional positions:
Na 0.000 0.000 0.000
Ce 0.348 0.348 0.000
Ce 0.652 0.652 0.000
Bi 0.173 0.173 0.000
Bi 0.500 0.000 0.500
Bi 0.827 0.827 0.000

A relaxed Hg2IBr2 crystal. Source: Alexandria, functional GGA-PBE.

Computed properties:
V: 34.08 Å³ per atom
D(E_F): 0.12 states/eV per atom
SG: Pnma (62)
Final energy: -27.2 eV for the cell shown
Relative energy among the computed polymorphs: 0.0894 eV per atom
M_tot: 0.000 μB/f.u.

Cell: 8.690 5.726 13.699 Å, 90.00 90.00 90.00°
Fractional positions:
Hg 0.107 0.250 0.239
Hg 0.164 0.250 0.920
Hg 0.336 0.750 0.420
Hg 0.393 0.750 0.739
Hg 0.607 0.250 0.261
Hg 0.664 0.250 0.580
Hg 0.836 0.750 0.080
Hg 0.893 0.750 0.761
I 0.130 0.750 0.606
I 0.370 0.250 0.106
I 0.630 0.750 0.894
I 0.870 0.250 0.394
Br 0.091 0.750 0.245
Br 0.148 0.750 0.920
Br 0.352 0.250 0.420
Br 0.409 0.250 0.745
Br 0.591 0.750 0.255
Br 0.648 0.750 0.580
Br 0.852 0.250 0.080
Br 0.909 0.250 0.755

A relaxed NbI3Br crystal. Source: Alexandria, functional GGA-PBE.

Computed properties:
V: 40.79 Å³ per atom
D(E_F): 1.53 states/eV per atom
SG: Pm-3m (221)
Final energy: -10.7 eV for the cell shown
Relative energy among the computed polymorphs: 1.6277 eV per atom
M_tot: 3.695 μB/f.u.

Cell: 5.886 5.886 5.886 Å, 90.00 90.00 90.00°
Fractional positions:
Nb 0.000 0.000 0.000
I 0.000 0.500 0.500
I 0.500 0.000 0.500
I 0.500 0.500 0.000
Br 0.500 0.500 0.500